DFT (PBE) results for an optimized crystal structure of Zr3NbS8.

```
Zr3NbS8
1.0
6.251 -3.604 0.000
6.251 3.604 0.000
-4.271 0.000 6.781
Zr Nb S
3 1 8
Cartesian
0.000 0.000 0.000
3.125 1.802 0.000
3.125 -1.802 0.000
6.251 0.000 0.000
2.083 0.000 1.502
5.236 1.750 1.484
-0.040 0.000 5.298
2.995 1.750 5.297
5.236 -1.750 1.484
8.272 0.000 1.483
2.995 -1.750 5.297
6.149 0.000 5.280
```

Summary:
SG: No. 12
Calculated total energy in eV per atom: -7.084

DFT (PBE) results for an optimized crystal structure of ZrNb3S.

```
ZrNb3S
1.0
4.633 0.000 0.000
0.000 4.633 0.000
0.000 0.000 4.633
Zr Nb S
1 3 1
Cartesian
0.000 0.000 0.000
0.000 2.316 2.316
2.316 0.000 2.316
2.316 2.316 0.000
2.316 2.316 2.316
```

Summary:
SG: No. 221
Offset from the most stable computed form in meV per atom: 0.0

DFT (PBE) results for an optimized crystal structure of ZrNb2S4.

```
ZrNb2S4
1.0
-2.543 2.543 6.031
2.543 -2.543 6.031
2.543 2.543 -6.031
Zr Nb S
1 2 4
Cartesian
0.000 0.000 0.000
0.000 0.000 4.876
0.000 0.000 7.186
2.543 0.000 0.000
0.000 0.000 2.473
0.000 2.543 0.000
0.000 0.000 9.589
```

Summary:
SG: No. 139
Calculated total energy in eV per atom: -6.766